Entry 1:
ZrTe2PdI | the Alexandria database | PBE-GGA | optimized geometry; energy relative to the lowest polymorph listed for this composition = 0.00 eV/f.u.
1.0
5.577 0.000 0.000
0.000 5.577 0.000
0.000 0.000 5.748
Zr Te Pd I
1 2 1 1
Direct
0.000 0.000 0.000
0.000 0.500 0.000
0.500 0.000 0.000
0.500 0.500 0.500
0.000 0.000 0.500



Entry 2:
This record from the Alexandria database describes a relaxed ThPdI2 crystal. The functional is PBE-GGA.

POSCAR file:
```
ThPdI2
1.0
3.888 0.000 0.000
-1.944 3.367 0.000
0.000 0.000 29.374
Th Pd I
3 3 6
Direct
0.000 0.000 0.000
0.333 0.667 0.667
0.667 0.333 0.333
0.000 0.000 0.500
0.333 0.667 0.167
0.667 0.333 0.833
0.000 0.000 0.412
0.000 0.000 0.588
0.333 0.667 0.078
0.333 0.667 0.255
0.667 0.333 0.745
0.667 0.333 0.922
```



Entry 3:
This record from the Alexandria database describes a relaxed ThPdI crystal. The functional is PBE-GGA.

POSCAR file:
```
ThPdI
1.0
12.408 0.000 0.000
0.000 3.952 0.000
0.000 0.000 6.841
Th Pd I
4 4 4
Direct
0.156 0.000 0.000
0.156 0.500 0.500
0.844 0.000 0.000
0.844 0.500 0.500
0.000 0.000 0.666
0.000 0.500 0.166
0.500 0.000 0.001
0.500 0.500 0.501
0.347 0.000 0.667
0.347 0.500 0.167
0.653 0.000 0.667
0.653 0.500 0.167
```



Entry 4:
This record from the Alexandria database describes a relaxed Th6PdI15 crystal. The functional is PBE-GGA.

POSCAR file:
```
Th6PdI15
1.0
-6.224 6.224 6.224
6.224 -6.224 6.224
6.224 6.224 -6.224
Th Pd I
6 1 15
Direct
0.000 0.235 0.235
0.000 0.765 0.765
0.235 0.000 0.235
0.235 0.235 0.000
0.765 0.000 0.765
0.765 0.765 0.000
0.000 0.000 0.000
0.000 0.252 0.748
0.000 0.500 0.500
0.000 0.748 0.252
0.252 0.000 0.748
0.252 0.252 0.505
0.252 0.505 0.252
0.252 0.748 0.000
0.495 0.748 0.748
0.500 0.000 0.500
0.500 0.500 0.000
0.505 0.252 0.252
0.748 0.000 0.252
0.748 0.252 0.000
0.748 0.495 0.748
0.748 0.748 0.495
```



Entry 5:
TiPd2I | the Alexandria database | PBE-GGA | optimized geometry; energy relative to the lowest polymorph listed for this composition = 0.00 eV/f.u.
1.0
6.693 0.000 0.000
0.000 6.693 0.000
0.000 0.000 6.693
Ti Pd I
4 8 4
Direct
0.000 0.000 0.000
0.000 0.500 0.500
0.500 0.000 0.500
0.500 0.500 0.000
0.250 0.250 0.250
0.250 0.250 0.750
0.250 0.750 0.250
0.250 0.750 0.750
0.750 0.250 0.250
0.750 0.250 0.750
0.750 0.750 0.250
0.750 0.750 0.750
0.000 0.000 0.500
0.000 0.500 0.000
0.500 0.000 0.000
0.500 0.500 0.500



Entry 6:
TiPd2I | the Alexandria database | PBE-GGA | optimized geometry; energy relative to the lowest polymorph listed for this composition = 0.36 eV/f.u.
1.0
6.776 0.000 0.000
0.000 6.776 0.000
0.000 0.000 8.355
Ti Pd I
4 8 4
Direct
0.000 0.000 0.000
0.000 0.500 0.250
0.500 0.000 0.750
0.500 0.500 0.500
0.213 0.250 0.125
0.250 0.713 0.375
0.250 0.787 0.875
0.287 0.250 0.625
0.713 0.750 0.625
0.750 0.213 0.875
0.750 0.287 0.375
0.787 0.750 0.125
0.000 0.000 0.500
0.000 0.500 0.750
0.500 0.000 0.250
0.500 0.500 0.000



Record order is preserved below.
Total energy: -4.156 -4.324 -5.168 -4.417 -4.811 -4.720 eV/atom
Record order is preserved below.
Energy relative to the elements, uncorrected: 0.159 -0.396 -0.447 -1.101 0.147 0.237 eV per atom
Record order is preserved below.
V: 179 385 336 964 300 384 Å³/cell